{"formula": "LiGaGe2Pd", "functional": "PBE-GGA", "state": "relaxed", "magnetic_moment_mub_per_cell": 0.00, "e_form_ev_per_fu": 0.74, "space_group": "P4/mmm (123)", "final_energy_ev_per_atom": -3.726, "lattice": [[-1.4282, 1.0059, 4.6087], [-2.9896, -3.7950, -0.0982], [3.5991, -2.8804, 1.7441]], "species": ["Ge", "Ga", "Li", "Ge", "Pd"], "frac_coords": [[0.0000, 0.0000, 0.5000], [0.0000, 0.5000, 0.0000], [0.5000, 0.5000, 0.5000], [0.5000, 0.0000, 0.0000], [0.0000, 0.0000, 0.0000]]}

=====

{"formula": "LaCe3Nd4As8", "functional": "PBE-GGA", "state": "relaxed", "magnetic_moment_mub_per_cell": 1.87, "e_form_ev_per_fu": -23.86, "space_group": "R-3m (166)", "final_energy_ev_per_atom": -6.429, "lattice": [[-4.7284, -7.0860, 0.4436], [5.3527, -3.9078, -5.3678], [2.9840, 3.5902, 7.1390]], "species": ["As", "Nd", "As", "Ce", "As", "Nd", "Ce", "As", "La", "As", "As", "Nd", "Ce", "Nd", "As", "As"], "frac_coords": [[0.7440, 0.7469, 0.9954], [0.5000, 0.0000, 0.5000], [0.2518, 0.2555, 0.5037], [0.5000, 0.5000, 0.0000], [0.2560, 0.2531, 0.0046], [0.0000, 0.0000, 0.5000], [0.5000, 0.5000, 0.5000], [0.7486, 0.2531, 0.0046], [0.0000, 0.5000, 0.0000], [0.7486, 0.2531, 0.4971], [0.7482, 0.7445, 0.4963], [0.0000, 0.0000, 0.0000], [0.0000, 0.5000, 0.5000], [0.5000, 0.0000, 0.0000], [0.2514, 0.7469, 0.5029], [0.2514, 0.7469, 0.9954]]}

=====

{"formula": "Cr2CoSb", "functional": "PBE-GGA", "state": "relaxed", "raw_formation_energy_ev_per_atom": 0.401, "magnetic_moment_mub_per_cell": 6.73, "space_group": "P4/mmm (123)", "final_energy_ev_per_atom": -7.218, "lattice": [[3.2612, 0.0101, 0.0000], [-0.0102, 3.2612, 0.0000], [0.0000, 0.0000, 5.6103]], "species": ["Cr", "Sb", "Cr", "Co"], "frac_coords": [[0.0000, 0.0000, 0.9799], [0.5000, 0.5000, 0.2500], [0.0000, 0.0000, 0.5201], [0.5000, 0.5000, 0.7500]]}

=====

{"formula": "Tl12S5Br", "functional": "PBE-GGA", "state": "relaxed", "raw_formation_energy_ev_per_atom": -0.346, "magnetic_moment_mub_per_cell": 0.00, "space_group": "C2/m (12)", "final_energy_ev_per_atom": -3.163, "lattice": [[7.3298, 0.0000, -0.6818], [3.6649, 6.3446, -0.3409], [-1.3295, 0.0000, 12.7896]], "species": ["S", "Tl", "Tl", "Tl", "Tl", "Tl", "Tl", "Tl", "Tl", "S", "Tl", "Br", "Tl", "Tl", "S", "Tl", "S", "S"], "frac_coords": [[0.3334, 0.3332, 0.0000], [0.8778, 0.6695, 0.6306], [0.5848, 0.0000, 0.8559], [0.6816, 0.3670, 0.1442], [0.4527, 0.6695, 0.3694], [0.0486, 0.6330, 0.1442], [0.7914, 0.0000, 0.3691], [0.1222, 0.3305, 0.3694], [0.4152, 0.0000, 0.1441], [0.1672, 0.6656, 0.5000], [0.3184, 0.6330, 0.8558], [0.0000, 0.0000, 0.0000], [0.9515, 0.3670, 0.8558], [0.5473, 0.3305, 0.6306], [0.6666, 0.6668, 0.0000], [0.2086, 0.0000, 0.6309], [0.8328, 0.3344, 0.5000], [0.5000, 0.0000, 0.5000]]}

=====

{"formula": "CuTeN2F", "functional": "PBE-GGA", "state": "relaxed", "raw_formation_energy_ev_per_atom": 0.954, "magnetic_moment_mub_per_cell": 0.00, "de_polymorph_mev_per_atom": 126, "space_group": "P4/mmm (123)", "final_energy_ev_per_atom": -4.198, "lattice": [[-0.9383, 0.7061, 3.8290], [3.0901, -2.2612, 1.1743], [2.5264, 3.4442, -0.0160]], "species": ["N", "Cu", "N", "Te", "F"], "frac_coords": [[0.5000, 0.0000, 0.0000], [0.5000, 0.5000, 0.5000], [0.0000, 0.5000, 0.0000], [0.0000, 0.0000, 0.0000], [0.0000, 0.0000, 0.5000]]}

=====

{"formula": "CsNaHoF6", "functional": "PBE-GGA", "state": "relaxed", "raw_formation_energy_ev_per_atom": -3.007, "magnetic_moment_mub_per_cell": 2.01, "space_group": "Imma (74)", "final_energy_ev_per_atom": -5.005, "lattice": [[-6.8971, 0.7811, -4.5452], [1.9162, -5.9473, -3.9297], [-0.4435, -0.9077, 8.0898]], "species": ["Ho", "F", "F", "F", "Ho", "F", "F", "F", "F", "F", "Na", "F", "Na", "F", "Cs", "F", "F", "Cs"], "frac_coords": [[0.5000, 0.0000, 0.5000], [0.1684, 0.3309, 0.7470], [0.5787, 0.9161, 0.7470], [0.8084, 0.0584, 0.6167], [0.0000, 0.0000, 0.5000], [0.4213, 0.0839, 0.2530], [0.5787, 0.3309, 0.7470], [0.1916, 0.9416, 0.3833], [0.4213, 0.6691, 0.2530], [0.8316, 0.6691, 0.2530], [0.5000, 0.5000, 0.0000], [0.6220, 0.3720, 0.2440], [0.5000, 0.0000, 0.0000], [0.1684, 0.9161, 0.7470], [0.8735, 0.6235, 0.7470], [0.3780, 0.6280, 0.7560], [0.8316, 0.0839, 0.2530], [0.1265, 0.3765, 0.2530]]}